A geometry-optimized La3InOs structure, computed with PBE.

Values from the calculation:
The value obtained for the energy relative to the elements is -1.50 eV per formula unit. Its crystal system is orthorhombic. The energy above the most stable polymorph in this dataset is 0.000 eV/f.u.

a b c (Å): 6.125 6.125 8.979
angles (deg): 102.46 102.46 111.57
Positions (direct):
La 0.308 0.408 0.716
La 0.703 0.203 0.906
La 0.692 0.592 0.284
La 0.297 0.797 0.094
La 0.092 0.192 0.284
La 0.908 0.808 0.716
Os 0.250 0.250 0.000
Os 0.750 0.750 0.000
In 0.704 0.204 0.500
In 0.296 0.796 0.500